A geometry-optimized Li2Cu3F8 structure, computed with GGA-PBE.

abc: 6.1413 6.1413 9.1542
angles: 90.43 90.43 117.19
Atoms (fractional coordinates):
1 Li 0.1642 0.8358 0.5000
2 Li 0.1843 0.8487 0.1154
3 Li 0.8358 0.1642 0.0000
4 Li 0.8487 0.1843 0.6154
5 Cu 0.1865 0.3624 0.2749
6 Cu 0.3624 0.1865 0.7749
7 Cu 0.3655 0.6826 0.7842
8 Cu 0.6826 0.3655 0.2842
9 Cu 0.6834 0.8590 0.2809
10 Cu 0.8590 0.6834 0.7809
11 F 0.0525 0.0798 0.1479
12 F 0.0798 0.0525 0.6479
13 F 0.1696 0.7984 0.9009
14 F 0.2235 0.3719 0.8811
15 F 0.3057 0.6586 0.3851
16 F 0.3719 0.2235 0.3811
17 F 0.4785 0.9807 0.6629
18 F 0.5377 0.9962 0.1475
19 F 0.5533 0.5693 0.6662
20 F 0.5693 0.5533 0.1662
21 F 0.6586 0.3057 0.8851
22 F 0.7422 0.8655 0.8930
23 F 0.7984 0.1696 0.4009
24 F 0.8655 0.7422 0.3930
25 F 0.9807 0.4785 0.1629
26 F 0.9962 0.5377 0.6475

Summary:
Space-group type: No. 9

---

A geometry-optimized LiCu2F5 structure, computed with GGA-PBE.

abc: 6.2323 6.2323 6.6011
angles: 107.58 107.58 108.18
Atoms (fractional coordinates):
1 Li 0.1568 0.8432 0.7500
2 Li 0.8432 0.1568 0.2500
3 Cu 0.0000 0.5000 0.0000
4 Cu 0.5000 0.0000 0.5000
5 Cu 0.5000 0.5000 0.0000
6 Cu 0.5000 0.5000 0.5000
7 F 0.1682 0.8318 0.2500
8 F 0.1706 0.3199 0.2537
9 F 0.2377 0.5905 0.8746
10 F 0.3199 0.1706 0.7537
11 F 0.4095 0.7623 0.6254
12 F 0.5905 0.2377 0.3746
13 F 0.6801 0.8294 0.2463
14 F 0.7623 0.4095 0.1254
15 F 0.8294 0.6801 0.7463
16 F 0.8318 0.1682 0.7500

Summary:
Space-group type: No. 15

---

We obtain uncorrected formation energy values of -1.925, -1.797 eV/atom for the records listed above, in that order.
We obtain electronic total energy values of -112.23, -67.68 eV for the cell shown for the records listed above, in that order.